First-principles (GGA-PBE) data for Nd8Rh3CCl4 after structural relaxation, as listed in Alexandria.

abc: 8.0918 8.8172 8.0923
angles: 117.37 120.00 90.00
Fractional coordinates of all 16 atoms:
Nd: 0.2225 0.6945 0.9723
Nd: 0.7498 0.6945 0.9723
Nd: 0.2228 0.6947 0.4455
Nd: 0.2629 0.2892 0.5259
Nd: 0.2502 0.3055 0.0277
Nd: 0.7371 0.7108 0.4741
Nd: 0.7775 0.3055 0.0277
Nd: 0.7772 0.3053 0.5545
Cl: 0.0000 0.0000 0.0000
Cl: 0.5000 0.0000 0.0000
Cl: 0.0000 0.0000 0.5000
Cl: 0.5000 0.0000 0.5000
C: 0.0000 0.5000 0.0000
Rh: 0.0000 0.5000 0.5000
Rh: 0.5000 0.5000 0.0000
Rh: 0.5000 0.5000 0.5000

## Properties
VASP energy	-0.21553	Ha/atom
E_form (uncorrected)	-1065	meV per atom
space group	C2/m (12)
magnetic moment	0.00	Bohr magnetons per cell
D(E_F)	0.570	states/eV/atom